The following is a DFT calculation (PBE) of an optimized crystal structure of VCrPd3.

abc: 4.591 4.591 4.591
angles: 90.00 90.00 90.00
Fractional coordinates of all 5 atoms:
V  0.000  0.000  0.000
Cr  0.500  0.500  0.500
Pd  0.000  0.000  0.500
Pd  0.000  0.500  0.000
Pd  0.500  0.000  0.000

Summary:
electronic total energy = -30.35 eV/cell

---

The following is a DFT calculation (PBE) of an optimized crystal structure of VCrPd.

abc: 2.825 2.825 10.143
angles: 90.00 90.00 90.00
Fractional coordinates of all 6 atoms:
V  0.250  0.250  0.224
V  0.750  0.750  0.776
Cr  0.250  0.250  0.934
Cr  0.750  0.750  0.066
Pd  0.250  0.250  0.604
Pd  0.750  0.750  0.396

Summary:
ΔE to the lowest computed polymorph = 0 meV per atom
electronic total energy = -48.68 eV/cell

---

The following is a DFT calculation (PBE) of an optimized crystal structure of VCrPd6.

abc: 4.983 4.995 5.000
angles: 93.13 93.11 93.06
Fractional coordinates of all 8 atoms:
V  0.000  0.000  0.000
Cr  0.500  0.500  0.500
Pd  0.034  0.460  0.750
Pd  0.250  0.964  0.542
Pd  0.460  0.750  0.036
Pd  0.540  0.250  0.964
Pd  0.750  0.036  0.458
Pd  0.966  0.540  0.250

Summary:
ΔE to the lowest computed polymorph = 147 meV per atom
electronic total energy = -50.15 eV/cell

---

The following is a DFT calculation (PBE) of an optimized crystal structure of VCr4Pd.

abc: 4.763 4.763 4.763
angles: 60.00 60.00 60.00
Fractional coordinates of all 6 atoms:
V  0.000  0.000  0.000
Cr  0.373  0.373  0.373
Cr  0.373  0.373  0.881
Cr  0.373  0.881  0.373
Cr  0.881  0.373  0.373
Pd  0.750  0.750  0.750

Summary:
electronic total energy = -52.08 eV/cell

---

The following is a DFT calculation (PBE) of an optimized crystal structure of VCrPd4.

abc: 2.733 2.733 11.542
angles: 90.00 90.00 90.00
Fractional coordinates of all 6 atoms:
V  0.000  0.000  0.000
Cr  0.500  0.500  0.500
Pd  0.000  0.000  0.345
Pd  0.000  0.000  0.655
Pd  0.500  0.500  0.159
Pd  0.500  0.500  0.841

Summary:
ΔE to the lowest computed polymorph = 0 meV per atom
electronic total energy = -40.12 eV/cell

---

The following is a DFT calculation (PBE) of an optimized crystal structure of VCr2Pd2.

abc: 5.928 5.928 3.964
angles: 90.00 90.00 90.00
Fractional coordinates of all 10 atoms:
V  0.000  0.000  0.000
V  0.500  0.500  0.000
Cr  0.131  0.369  0.000
Cr  0.369  0.869  0.000
Cr  0.631  0.131  0.000
Cr  0.869  0.631  0.000
Pd  0.171  0.671  0.500
Pd  0.329  0.171  0.500
Pd  0.671  0.829  0.500
Pd  0.829  0.329  0.500

Summary:
electronic total energy = -74.91 eV/cell

---

The following is a DFT calculation (PBE) of an optimized crystal structure of VCrPd.

abc: 5.059 5.059 5.059
angles: 145.21 145.21 50.02
Fractional coordinates of all 3 atoms:
V  0.000  0.000  0.000
Cr  0.363  0.363  0.000
Pd  0.677  0.677  0.000

Summary:
ΔE to the lowest computed polymorph = 215 meV per atom
electronic total energy = -23.70 eV/cell

---

The following is a DFT calculation (PBE) of an optimized crystal structure of VCrPdW2.

abc: 4.510 4.510 4.173
angles: 90.00 90.00 90.00
Fractional coordinates of all 5 atoms:
V  0.000  0.000  0.000
Cr  0.000  0.000  0.500
Pd  0.500  0.500  0.000
W  0.000  0.500  0.500
W  0.500  0.000  0.500

Summary:
electronic total energy = -43.82 eV/cell

---

The following is a DFT calculation (PBE) of an optimized crystal structure of YVCr2Pd.

abc: 4.367 4.367 5.197
angles: 90.00 90.00 90.00
Fractional coordinates of all 5 atoms:
Y  0.000  0.000  0.000
V  0.000  0.000  0.500
Cr  0.000  0.500  0.500
Cr  0.500  0.000  0.500
Pd  0.500  0.500  0.000

Summary:
electronic total energy = -35.75 eV/cell

---

The following is a DFT calculation (PBE) of an optimized crystal structure of VZnCr2Pd.

abc: 4.218 4.218 4.719
angles: 90.00 90.00 90.00
Fractional coordinates of all 5 atoms:
V  0.000  0.000  0.000
Zn  0.000  0.000  0.500
Cr  0.000  0.500  0.000
Cr  0.500  0.000  0.000
Pd  0.500  0.500  0.500

Summary:
electronic total energy = -29.71 eV/cell

---

The following is a DFT calculation (PBE) of an optimized crystal structure of Cr3PdW.

abc: 4.457 4.457 4.457
angles: 90.00 90.00 90.00
Fractional coordinates of all 5 atoms:
Cr  0.000  0.000  0.500
Cr  0.000  0.500  0.000
Cr  0.500  0.000  0.000
Pd  0.500  0.500  0.500
W  0.000  0.000  0.000

Summary:
ΔE to the lowest computed polymorph = 0 meV per atom
electronic total energy = -38.25 eV/cell

---

The following is a DFT calculation (PBE) of an optimized crystal structure of CrPd3W.

abc: 4.765 4.765 4.765
angles: 90.00 90.00 90.00
Fractional coordinates of all 5 atoms:
Cr  0.000  0.000  0.000
Pd  0.000  0.500  0.500
Pd  0.500  0.000  0.500
Pd  0.500  0.500  0.000
W  0.500  0.500  0.500

Summary:
electronic total energy = -29.57 eV/cell

---

| no. | ΔH_f (0 K) (meV per atom) |
| --- | --- |
| 1 | 793 |
| 2 | -135 |
| 3 | -31 |
| 4 | 121 |
| 5 | -100 |
| 6 | 259 |
| 7 | 79 |
| 8 | 1204 |
| 9 | 854 |
| 10 | 1024 |
| 11 | 1753 |
| 12 | 1717 |